# V2GaReHg

An optimized crystal structure of V2GaReHg (PBE, Alexandria via LeMat-Bulk).

```
V2GaReHg
1.0
-3.2755 2.8701 -1.9357
-0.6323 -3.2366 -3.7288
-3.4085 -2.2077 2.4943
Re Ga V Hg
1 1 2 1
Cartesian
-0.3162 -1.6183 -1.8644
-3.6582 -1.2871 -1.5851
-1.7042 -1.1038 1.2471
-1.6377 1.4350 -0.9679
0.0000 0.0000 0.0000
```

Computed properties:
- Magnetization: 1.740 μB per formula unit
- Uncorrected energy: -4.56 eV/atom
- ΔH_f (0 K): 2.243 eV per atom